[1]
First-principles (PBE) data for CaPr11 after structural relaxation, as listed in Alexandria via LeMat-Bulk.

Structure (POSCAR):
```
CaPr11
1.0
11.7984 0.0000 0.0000
-5.8992 10.2177 0.0000
0.0000 0.0000 3.6566
Ca Pr
1 11
Cartesian
0.0000 0.0000 0.0000
-2.9496 5.1089 0.0000
0.0000 3.5926 1.8283
-2.7879 8.4214 1.8283
0.0000 6.8118 0.0000
3.1113 1.7963 1.8283
5.8992 0.0000 0.0000
2.9496 5.1089 0.0000
2.7879 8.4214 1.8283
5.8992 3.4059 0.0000
8.6871 1.7963 1.8283
5.8992 6.6251 1.8283
```

- size of the total moment (Bohr magnetons per cell) = 0.0
- space-group type = P6/mmm
- formation energy from the elements (eV/atom) = 0.03

[2]
First-principles (PBE) data for NdErSc2S4 after structural relaxation, as listed in Alexandria via LeMat-Bulk.

Structure (POSCAR):
```
NdErSc2S4
1.0
6.6473 0.0000 0.0000
0.0000 3.7891 0.0000
-2.1691 0.0000 6.3270
Nd Er Sc S
1 1 2 4
Cartesian
0.0000 0.0000 0.0000
3.3237 1.8946 0.0000
-1.0845 1.8946 3.1635
2.2391 0.0000 3.1635
0.0906 0.0000 4.6314
1.1788 1.8946 1.7374
3.2994 1.8946 4.5896
4.3876 0.0000 1.6956
```

- size of the total moment (Bohr magnetons per cell) = 0.0
- space-group type = P2/m
- raw formation energy (eV/atom) = -1.9059

[3]
First-principles (PBE) data for TlMo2I after structural relaxation, as listed in Alexandria via LeMat-Bulk.

Structure (POSCAR):
```
TlMo2I
1.0
6.7300 0.0000 0.0000
0.0000 6.7300 0.0000
0.0000 0.0000 6.7300
Tl Mo I
4 8 4
Cartesian
0.0000 0.0000 0.0000
0.0000 3.3650 3.3650
3.3650 0.0000 3.3650
3.3650 3.3650 0.0000
1.6825 1.6825 1.6825
1.6825 1.6825 5.0475
1.6825 5.0475 1.6825
1.6825 5.0475 5.0475
5.0475 1.6825 1.6825
5.0475 1.6825 5.0475
5.0475 5.0475 1.6825
5.0475 5.0475 5.0475
0.0000 0.0000 3.3650
0.0000 3.3650 0.0000
3.3650 0.0000 0.0000
3.3650 3.3650 3.3650
```

- size of the total moment (Bohr magnetons per cell) = 0.0
- excess energy over the best structure of this formula in the dataset (meV/atom) = 0.0
- space-group type = Fm-3m
- raw formation energy (eV/atom) = 1.0972